Entry 1:
Computed, not measured: a relaxed structure of Cs3Na at the PBE level of DFT.

CIF file:
```
data_Cs3Na
_symmetry_space_group_name_H-M 'P m m 2'
_symmetry_Int_Tables_number 25
_cell_length_a 5.065
_cell_length_b 5.466
_cell_length_c 14.266
_cell_angle_alpha 90.00
_cell_angle_beta 90.00
_cell_angle_gamma 90.00
loop_
_symmetry_equiv_pos_as_xyz
'x,y,z'
'-x,-y,z'
'-x,y,z'
'x,-y,z'
loop_
_atom_site_label
_atom_site_fract_x
_atom_site_fract_y
_atom_site_fract_z
Cs1 0.000 0.000 0.000
Cs2 0.000 0.500 0.317
Cs3 0.500 0.500 0.707
Na1 0.500 0.000 0.477
```

Results
uncorrected energy: -0.9071 eV per atom



Entry 2:
Computed, not measured: a relaxed structure of Sr3Sm3HoS8 at the PBE level of DFT.

CIF file:
```
data_Sr3Sm3HoS8
_symmetry_space_group_name_H-M 'R -3 m'
_symmetry_Int_Tables_number 166
_symmetry_space_group_name_Hall '-R 3 2"'
_cell_length_a 8.1205
_cell_length_b 8.1205
_cell_length_c 20.6873
_cell_angle_alpha 90.00
_cell_angle_beta 90.00
_cell_angle_gamma 120.00
loop_
_atom_site_label
_atom_site_fract_x
_atom_site_fract_y
_atom_site_fract_z
Sr1 0.0000 0.5000 0.0000
Sm1 0.0000 0.5000 0.5000
Ho1 0.0000 0.0000 0.5000
S1 0.0000 0.0000 0.2454
S2 0.0089 0.5044 0.2418
```

Results
formation energy without anion corrections: -2.0851 eV per atom



Entry 3:
Computed, not measured: a relaxed structure of La2GaSi at the PBE level of DFT.

CIF file:
```
data_La2GaSi
_symmetry_space_group_name_H-M 'P 4/m m m'
_symmetry_Int_Tables_number 123
_symmetry_space_group_name_Hall '-P 4 2'
_cell_length_a 3.900
_cell_length_b 3.900
_cell_length_c 6.838
_cell_angle_alpha 90.00
_cell_angle_beta 90.00
_cell_angle_gamma 90.00
loop_
_atom_site_label
_atom_site_fract_x
_atom_site_fract_y
_atom_site_fract_z
La1 0.000 0.000 0.228
Ga1 0.500 0.500 0.500
Si1 0.500 0.500 0.000
```

Results
formation energy without anion corrections: -0.5384 eV per atom



Entry 4:
Computed, not measured: a relaxed structure of CeErPdRh at the PBE level of DFT.

CIF file:
```
data_CeErPdRh
_symmetry_space_group_name_H-M 'A m m 2'
_symmetry_Int_Tables_number 38
_cell_length_a 4.186
_cell_length_b 3.773
_cell_length_c 11.134
_cell_angle_alpha 90.00
_cell_angle_beta 90.00
_cell_angle_gamma 90.00
loop_
_symmetry_equiv_pos_as_xyz
'x,y,z'
'-x,-y,z'
'-x,y,z'
'x,-y,z'
'x,y+1/2,z+1/2'
'-x,-y+1/2,z+1/2'
'-x,y+1/2,z+1/2'
'x,-y+1/2,z+1/2'
loop_
_atom_site_label
_atom_site_fract_x
_atom_site_fract_y
_atom_site_fract_z
Ce1 0.000 0.000 0.000
Er1 0.500 0.000 0.276
Pd1 0.000 0.000 0.721
Rh1 0.500 0.000 0.536
```

Results
uncorrected energy: -6.6068 eV per atom



Entry 5:
Computed, not measured: a relaxed structure of SmIn2Bi2 at the PBE level of DFT.

CIF file:
```
data_SmIn2Bi2
_symmetry_space_group_name_H-M 'C 1 2/m 1'
_symmetry_Int_Tables_number 12
_cell_length_a 6.030
_cell_length_b 6.016
_cell_length_c 8.623
_cell_angle_alpha 90.00
_cell_angle_beta 106.94
_cell_angle_gamma 90.00
loop_
_symmetry_equiv_pos_as_xyz
'x,y,z'
'-x,-y,-z'
'-x,y,-z'
'x,-y,z'
'x+1/2,y+1/2,z'
'-x+1/2,-y+1/2,-z'
'-x+1/2,y+1/2,-z'
'x+1/2,-y+1/2,z'
loop_
_atom_site_label
_atom_site_fract_x
_atom_site_fract_y
_atom_site_fract_z
Sm1 0.000 0.000 0.000
In1 0.185 0.000 0.394
Bi1 0.086 0.500 0.198
```

Results
uncorrected energy: -3.9076 eV per atom



Entry 6:
Computed, not measured: a relaxed structure of ReSi2Pb2 at the PBE level of DFT.

CIF file:
```
data_ReSi2Pb2
_symmetry_space_group_name_H-M 'P 4/m b m'
_symmetry_Int_Tables_number 127
_symmetry_space_group_name_Hall '-P 4 2ab'
_cell_length_a 7.437
_cell_length_b 7.437
_cell_length_c 4.081
_cell_angle_alpha 90.00
_cell_angle_beta 90.00
_cell_angle_gamma 90.00
loop_
_atom_site_label
_atom_site_fract_x
_atom_site_fract_y
_atom_site_fract_z
Re1 0.000 0.000 0.000
Si1 0.130 0.370 0.500
Pb1 0.170 0.670 0.000
```

Results
formation energy without anion corrections: 1.2649 eV per atom



Entry 7:
Computed, not measured: a relaxed structure of Y2Tm6Zr at the PBE level of DFT.

CIF file:
```
data_Y2Tm6Zr
_symmetry_space_group_name_H-M 'C 1 2/c 1'
_symmetry_Int_Tables_number 15
_cell_length_a 16.207
_cell_length_b 11.477
_cell_length_c 5.831
_cell_angle_alpha 90.00
_cell_angle_beta 98.00
_cell_angle_gamma 90.00
loop_
_symmetry_equiv_pos_as_xyz
'x,y,z'
'-x,-y,-z'
'-x,y,-z+1/2'
'x,-y,z+1/2'
'x+1/2,y+1/2,z'
'-x+1/2,-y+1/2,-z'
'-x+1/2,y+1/2,-z+1/2'
'x+1/2,-y+1/2,z+1/2'
loop_
_atom_site_label
_atom_site_fract_x
_atom_site_fract_y
_atom_site_fract_z
Y1 0.174 0.101 0.067
Tm1 0.052 0.136 0.518
Tm2 0.103 0.391 0.811
Tm3 0.203 0.354 0.357
Zr1 0.000 0.371 0.250
```

Results
uncorrected energy: -5.2477 eV per atom



Entry 8:
Computed, not measured: a relaxed structure of Ba2ZrHg at the PBE level of DFT.

CIF file:
```
data_Ba2ZrHg
_symmetry_space_group_name_H-M 'C 1 m 1'
_symmetry_Int_Tables_number 8
_cell_length_a 14.058
_cell_length_b 3.846
_cell_length_c 5.990
_cell_angle_alpha 90.00
_cell_angle_beta 115.12
_cell_angle_gamma 90.00
loop_
_symmetry_equiv_pos_as_xyz
'x,y,z'
'x,-y,z'
'x+1/2,y+1/2,z'
'x+1/2,-y+1/2,z'
loop_
_atom_site_label
_atom_site_fract_x
_atom_site_fract_y
_atom_site_fract_z
Ba1 0.000 0.000 0.000
Ba2 0.205 0.000 0.704
Zr1 0.421 0.000 0.421
Hg1 0.249 0.500 0.248
```

Results
uncorrected energy: -3.0303 eV per atom



Number 1: total magnetization 0.000 μB/cell. Number 2: total magnetization 0.000 μB/cell. Number 3: total magnetization 0.000 μB/cell. Number 4: total magnetization 0.306 μB/cell. Number 5: total magnetization 0.000 μB/cell. Number 6: total magnetization 0.000 μB/cell. Number 7: total magnetization 0.002 μB/cell. Number 8: total magnetization 1.276 μB/cell.